[1]
Material: BeAu
Method: DFT, PBEsol
State: relaxed

Calculated values
M_tot   0.0000 μB/atom
Space-group type   No. 129
DFT formation energy   -0.17 eV/atom
E   -4.13 eV/atom

Unit cell a=3.0287 b=3.0287 c=5.5554 alpha=90.00 beta=90.00 gamma=90.00
Positions (direct):
Be (0.2500, 0.2500, 0.1172)
Be (0.7500, 0.7500, 0.8828)
Au (0.2500, 0.2500, 0.6876)
Au (0.7500, 0.7500, 0.3124)

---

[2]
Material: Be4Au3
Method: DFT, PBEsol
State: relaxed

Calculated values
M_tot   0.0000 μB/atom
Space-group type   No. 139
DFT formation energy   -0.15 eV/atom
E   -4.11 eV/atom

Unit cell a=9.7966 b=9.7966 c=9.7966 alpha=162.60 beta=162.60 gamma=24.70
Positions (direct):
Be (0.0689, 0.0689, 0.0000)
Be (0.3688, 0.3688, 0.0000)
Be (0.6312, 0.6312, 0.0000)
Be (0.9311, 0.9311, 0.0000)
Au (0.1935, 0.1935, 0.0000)
Au (0.5000, 0.5000, 0.0000)
Au (0.8065, 0.8065, 0.0000)

---

[3]
Material: BeAu2
Method: DFT, PBEsol
State: relaxed

Calculated values
M_tot   0.0000 μB/atom
Space-group type   No. 194
DFT formation energy   -0.09 eV/atom
E   -4.04 eV/atom

Unit cell a=4.1808 b=4.1808 c=5.6856 alpha=90.00 beta=90.00 gamma=120.00
Positions (direct):
Be (0.3333, 0.6667, 0.2500)
Be (0.6667, 0.3333, 0.7500)
Au (0.0000, 0.0000, 0.0000)
Au (0.0000, 0.0000, 0.5000)
Au (0.3333, 0.6667, 0.7500)
Au (0.6667, 0.3333, 0.2500)

---

[4]
Material: BeAu4
Method: DFT, PBEsol
State: relaxed

Calculated values
M_tot   0.0000 μB/atom
Space-group type   No. 229
DFT formation energy   0.00 eV/atom
E   -3.93 eV/atom

Unit cell a=4.7777 b=4.7777 c=4.7777 alpha=109.47 beta=109.47 gamma=109.47
Positions (direct):
Be (0.0000, 0.0000, 0.0000)
Au (0.0000, 0.0000, 0.5000)
Au (0.0000, 0.5000, 0.0000)
Au (0.5000, 0.0000, 0.0000)
Au (0.5000, 0.5000, 0.5000)

---

> Which value of DFT formation energy does entry 3 give?

-0.09 eV/atom

---

> Number 4 is which compound?

BeAu4